Here is a PBEsol-optimized structure of YOsNF2 from Alexandria. Energies are from meta-GGA SCAN.

Properties
final energy = -24.10 eV/atom
size of the total moment = 0.5 μB/f.u.
symmetry = P4/mmm, No. 123
V = 14.35 Å³ per atom

Cell: 4.383 4.383 3.737 Å, 90.00 90.00 90.00°
Positions (direct):
Y 0.000 0.000 0.000
Os 0.500 0.500 0.500
N 0.500 0.500 0.000
F 0.000 0.500 0.500
F 0.500 0.000 0.500